Record 1
{
  "formula": "Bi3Te2Se2",
  "functional": "PBE",
  "state": "relaxed",
  "cell": [[4.371, 0.000, 0.000], [0.000, 7.665, -0.623], [-2.186, -3.070, 7.794]],
  "species": ["Se", "Bi", "Se", "Bi", "Bi", "Te", "Te"],
  "frac_coords": [[0.862, 0.670, 0.724], [0.740, 0.265, 0.480], [0.138, 0.330, 0.276], [0.260, 0.735, 0.520], [0.000, 0.500, 0.000], [0.375, 0.212, 0.750], [0.625, 0.788, 0.250]],
  "raw_formation_energy_kcal_per_mol_atoms": -5.15,
  "final_energy_ev_per_atom": -3.780,
  "sg": "C2/m (12)"
}

Record 2
{
  "formula": "Bi3Te3Se",
  "functional": "PBE",
  "state": "relaxed",
  "cell": [[4.379, 0.000, 0.000], [0.000, 9.012, -0.073], [0.000, 0.571, 12.435]],
  "species": ["Te", "Te", "Bi", "Te", "Te", "Bi", "Bi", "Se", "Te", "Te", "Bi", "Se", "Bi", "Bi"],
  "frac_coords": [[0.250, 0.898, 0.861], [0.250, 0.344, 0.381], [0.750, 0.097, 0.384], [0.250, 0.400, 0.885], [0.750, 0.656, 0.619], [0.250, 0.391, 0.645], [0.750, 0.609, 0.355], [0.250, 0.838, 0.359], [0.750, 0.102, 0.139], [0.750, 0.600, 0.115], [0.750, 0.152, 0.881], [0.750, 0.162, 0.641], [0.250, 0.848, 0.119], [0.250, 0.903, 0.616]],
  "raw_formation_energy_kcal_per_mol_atoms": -4.07,
  "final_energy_ev_per_atom": -3.684,
  "sg": "P2_1/m (11)"
}

Record 3
{
  "formula": "BiTeSe2",
  "functional": "PBE",
  "state": "relaxed",
  "cell": [[7.926, 0.000, 0.000], [0.000, 7.926, 0.000], [3.963, 3.963, 3.640]],
  "species": ["Se", "Bi", "Bi", "Se", "Se", "Se", "Te", "Te"],
  "frac_coords": [[0.875, 0.875, 0.750], [0.750, 0.250, 0.500], [0.000, 0.000, 0.000], [0.125, 0.625, 0.250], [0.625, 0.125, 0.250], [0.375, 0.375, 0.750], [0.500, 0.500, 0.000], [0.250, 0.750, 0.500]],
  "raw_formation_energy_kcal_per_mol_atoms": 1.13,
  "final_energy_ev_per_atom": -3.449,
  "sg": "I-42d (122)"
}

Record 4
{
  "formula": "Bi4Te5Se",
  "functional": "PBE",
  "state": "relaxed",
  "cell": [[4.306, 0.000, -0.938], [-0.440, 8.499, -2.021], [-0.077, 0.168, 10.002]],
  "species": ["Te", "Bi", "Bi", "Te", "Se", "Te", "Bi", "Te", "Te", "Bi"],
  "frac_coords": [[0.500, 0.500, 0.000], [0.328, 0.926, 0.657], [0.672, 0.074, 0.343], [0.834, 0.667, 0.668], [0.500, 0.000, 0.000], [0.829, 0.185, 0.657], [0.986, 0.746, 0.973], [0.166, 0.333, 0.332], [0.171, 0.815, 0.343], [0.014, 0.254, 0.027]],
  "raw_formation_energy_kcal_per_mol_atoms": -4.12,
  "final_energy_ev_per_atom": -3.650,
  "sg": "C2/m (12)"
}